(1)
Here is crystalline ErPuBi6 at its relaxed geometry from Alexandria via LeMat-Bulk. Energies are from PBE.

Structure (POSCAR):
```
ErPuBi6
1.0
4.5826 0.0000 0.0000
0.0000 2.3557 11.5622
0.0000 -2.3557 11.5622
Er Pu Bi
1 1 6
direct
0.0000 0.0000 0.0000 Er
0.5000 0.3507 0.3507 Pu
0.0000 0.2411 0.2411 Bi
0.0000 0.6240 0.6240 Bi
0.0000 0.8642 0.8642 Bi
0.5000 0.1029 0.1029 Bi
0.5000 0.4883 0.4883 Bi
0.5000 0.7439 0.7439 Bi
```

Properties
Space group: Amm2 (38)
D(E_F) in states/eV/cell: 13.64
Total magnetic moment in μB/cell: 5.61
Calculated total energy in eV per atom: -5.48
Density in g cm⁻³: 11.08
Energy of formation from the pure elements in eV per atom: -0.21

(2)
Here is crystalline Er2PuBi at its relaxed geometry from Alexandria via LeMat-Bulk. Energies are from PBE.

Structure (POSCAR):
```
Er2PuBi
1.0
4.9150 0.0000 0.0000
0.0000 4.9150 0.0000
0.0000 0.0000 4.6182
Er Pu Bi
2 1 1
direct
0.0000 0.5000 0.0000 Er
0.5000 0.0000 0.0000 Er
0.0000 0.0000 0.5000 Pu
0.5000 0.5000 0.5000 Bi
```

Properties
Space group: P4/mmm (123)
D(E_F) in states/eV/cell: 11.15
Total magnetic moment in μB/cell: 6.63
Calculated total energy in eV per atom: -7.08
Density in g cm⁻³: 11.72
Energy of formation from the pure elements in eV per atom: -0.25

(3)
Here is crystalline Er8PuBi2 at its relaxed geometry from Alexandria via LeMat-Bulk. Energies are from PBE.

Structure (POSCAR):
```
Er8PuBi2
1.0
8.8836 -2.4154 0.0000
8.8836 2.4154 0.0000
-2.7759 0.0000 7.5933
Er Pu Bi
8 1 2
direct
0.0438 0.0438 0.2513 Er
0.1462 0.1462 0.7086 Er
0.3194 0.3194 0.5717 Er
0.4073 0.4073 0.0373 Er
0.5927 0.5927 0.9627 Er
0.6806 0.6806 0.4283 Er
0.8538 0.8538 0.2914 Er
0.9562 0.9562 0.7487 Er
0.5000 0.5000 0.5000 Pu
0.2166 0.2166 0.1575 Bi
0.7834 0.7834 0.8425 Bi
```

Properties
Space group: C2/m (12)
D(E_F) in states/eV/cell: 18.21
Total magnetic moment in μB/cell: 7.18
Calculated total energy in eV per atom: -5.54
Density in g cm⁻³: 10.19
Energy of formation from the pure elements in eV per atom: -0.21

(4)
Here is crystalline ErPuSc2Bi4 at its relaxed geometry from Alexandria via LeMat-Bulk. Energies are from PBE.

Structure (POSCAR):
```
ErPuSc2Bi4
1.0
7.5831 0.0000 0.0000
0.0000 4.3777 0.0000
-2.5161 0.0000 7.1655
Er Pu Sc Bi
1 1 2 4
direct
0.0000 0.0000 0.0000 Er
0.0000 0.5000 0.5000 Pu
0.5000 0.0000 0.5000 Sc
0.5000 0.5000 0.0000 Sc
0.2644 0.5000 0.2522 Bi
0.2666 0.0000 0.7580 Bi
0.7334 0.0000 0.2420 Bi
0.7356 0.5000 0.7478 Bi
```

Properties
Space group: P2/m (10)
D(E_F) in states/eV/cell: 17.29
Total magnetic moment in μB/cell: 5.23
Calculated total energy in eV per atom: -6.49
Density in g cm⁻³: 9.33
Energy of formation from the pure elements in eV per atom: -0.61

(5)
Here is crystalline ErPu2ScBi4 at its relaxed geometry from Alexandria via LeMat-Bulk. Energies are from PBE.

Structure (POSCAR):
```
ErPu2ScBi4
1.0
4.7829 0.0000 0.0000
0.0000 5.6513 0.0000
0.0000 0.0000 8.4253
Er Pu Sc Bi
1 2 1 4
direct
0.0000 0.0000 0.0000 Er
0.0000 0.0000 0.5000 Pu
0.5000 0.5000 0.5000 Pu
0.5000 0.5000 0.0000 Sc
0.0000 0.5000 0.2337 Bi
0.0000 0.5000 0.7663 Bi
0.5000 0.0000 0.2407 Bi
0.5000 0.0000 0.7593 Bi
```

Properties
Space group: Pmmm (47)
D(E_F) in states/eV/cell: 19.54
Total magnetic moment in μB/cell: 11.87
Calculated total energy in eV per atom: -7.32
Density in g cm⁻³: 11.20
Energy of formation from the pure elements in eV per atom: -0.43

(6)
Here is crystalline SmEr2PuBi4 at its relaxed geometry from Alexandria via LeMat-Bulk. Energies are from PBE.

Structure (POSCAR):
```
SmEr2PuBi4
1.0
7.7874 0.0000 0.0000
0.0000 4.5031 0.0000
-2.5961 0.0000 7.3529
Sm Er Pu Bi
1 2 1 4
direct
0.0000 0.0000 0.0000 Sm
0.5000 0.0000 0.5000 Er
0.5000 0.5000 0.0000 Er
0.0000 0.5000 0.5000 Pu
0.2562 0.0000 0.7511 Bi
0.2569 0.5000 0.2534 Bi
0.7431 0.5000 0.7466 Bi
0.7438 0.0000 0.2489 Bi
```

Properties
Space group: P2/m (10)
D(E_F) in states/eV/cell: 17.83
Total magnetic moment in μB/cell: 5.16
Calculated total energy in eV per atom: -6.18
Density in g cm⁻³: 10.08
Energy of formation from the pure elements in eV per atom: -0.71